Material: CsCrPO2
Method: DFT, PBE+U
State: optimized geometry

Properties
DOS(E_F)   3.795 states/eV/f.u.
Raw total energy   -5.039 eV/atom
Density   4.99 g/cm3

a b c (Å): 4.047 4.047 5.038
angles (deg): 90.00 90.00 90.00
Each line ends with the local moment (μB).
Positions (direct):
Cs 0.500 0.500 0.500  -0.01
Cr 0.000 0.000 0.000  2.79
O 0.000 0.500 0.000  -0.28
O 0.500 0.000 0.000  -0.28
P 0.000 0.000 0.500  -0.15